No. 1
{"formula": "Rb2ZnInO4", "functional": "PBE-GGA", "state": "relaxed", "formation_energy_uncorrected_mev_per_atom": -1128, "lattice_angstrom": [[-0.7467, -4.4854, -4.0619], [4.4338, -2.0883, -3.0850], [0.5050, -5.5743, 1.4865]], "species": ["Rb", "Rb", "O", "O", "O", "O", "Zn", "In"], "fractional_positions": [[0.0000, 0.5000, 0.5000], [0.5000, 0.5000, 0.5000], [0.8783, 0.0000, 0.7204], [0.1217, 0.2796, 0.0000], [0.5987, 0.0000, 0.2796], [0.4013, 0.7204, 0.0000], [0.5000, 0.0000, 0.0000], [0.0000, 0.0000, 0.0000]]}

---

No. 2
{"formula": "InRe2O", "functional": "PBE-GGA", "state": "relaxed", "formation_energy_uncorrected_mev_per_atom": 1264, "polymorph_energy_mev_per_atom": 635, "lattice_angstrom": [[0.0000, 3.0987, 3.0987], [3.0987, 0.0000, 3.0987], [3.0987, 3.0987, 0.0000]], "species": ["Re", "Re", "O", "In"], "fractional_positions": [[0.7500, 0.7500, 0.7500], [0.2500, 0.2500, 0.2500], [0.0000, 0.0000, 0.0000], [0.5000, 0.5000, 0.5000]]}

---

No. 3
{"formula": "In2ReO2", "functional": "PBE-GGA", "state": "relaxed", "formation_energy_uncorrected_mev_per_atom": 417, "polymorph_energy_mev_per_atom": 350, "lattice_angstrom": [[7.3063, 0.0000, 0.0000], [0.0000, 7.3063, 0.0000], [0.0000, 0.0000, 2.8188]], "species": ["In", "In", "In", "In", "Re", "Re", "O", "O", "O", "O"], "fractional_positions": [[0.3558, 0.8558, 0.0000], [0.8558, 0.6442, 0.0000], [0.1442, 0.3558, 0.0000], [0.6442, 0.1442, 0.0000], [0.0000, 0.0000, 0.0000], [0.5000, 0.5000, 0.0000], [0.1250, 0.6250, 0.5000], [0.8750, 0.3750, 0.5000], [0.6250, 0.8750, 0.5000], [0.3750, 0.1250, 0.5000]]}